No. 1
Entry from Alexandria: a geometry-optimized Ac3Tb structure (PBE).

Cell: 5.4885 5.4885 5.4885 Å, 90.00 90.00 90.00°
Closest atoms and distances in Å follow each position.
Space group Pm-3m (No. 221)
Symmetry-distinct sites (fractional):
Ac  0.0000  0.0000  0.5000 (multiplicity 3)  8 Ac 3.88, 4 Tb 3.88
Tb  0.5000  0.5000  0.5000 (multiplicity 1)  12 Ac 3.88

## Properties
**Density**: 8436 kg/m³

=====

No. 2
Entry from Alexandria: a geometry-optimized Ac4Tb structure (PBE).

Cell: 8.7458 8.7458 5.5317 Å, 90.00 90.00 90.00°
Closest atoms and distances in Å follow each position.
Space group I4/m (No. 87)
Symmetry-distinct sites (fractional):
Ac  0.1027  0.2968  0.0000 (multiplicity 8)  9 Ac 3.87-3.98, 3 Tb 3.90
Tb  0.0000  0.0000  0.5000 (multiplicity 2)  12 Ac 3.90

## Properties
**Energy relative to the lowest polymorph listed for this composition**: 0.000 eV/atom
**Density**: 8374 kg/m³

=====

No. 3
Entry from Alexandria: a geometry-optimized AcTb5 structure (PBE).

Cell: 5.1233 15.4378 5.1388 Å, 90.00 90.00 90.00°
Closest atoms and distances in Å follow each position.
Space group Cmmm (No. 65)
Symmetry-distinct sites (fractional):
Ac  0.0000  0.0000  0.0000 (multiplicity 2)  12 Tb 3.63-3.68
Tb  0.0000  0.1696  0.5000 (multiplicity 4)  10 Tb 3.56-3.66, 2 Ac 3.67
Tb  0.0000  0.3290  0.0000 (multiplicity 4)  10 Tb 3.54-3.68, 2 Ac 3.68
Tb  0.0000  0.5000  0.5000 (multiplicity 2)  4 Ac 3.63, 8 Tb 3.66-3.68

## Properties
**Energy relative to the lowest polymorph listed for this composition**: 0.003 eV/atom
**Density**: 8348 kg/m³

=====

No. 4
Entry from Alexandria: a geometry-optimized Ac3Tb structure (PBE).

Cell: 3.9383 12.5798 6.7398 Å, 90.00 90.00 90.00°
Closest atoms and distances in Å follow each position.
Space group Imm2 (No. 44)
Symmetry-distinct sites (fractional):
Ac  0.0000  0.0000  0.0000 (multiplicity 2)  8 Ac 3.83-3.94, 4 Tb 3.88-3.93
Ac  0.0000  0.2440  0.6597 (multiplicity 4)  3 Tb 3.81-3.94, 9 Ac 3.83-3.94
Tb  0.0000  0.5000  0.9962 (multiplicity 2)  10 Ac 3.81-3.94, 2 Tb 3.94

## Properties
**Density**: 8354 kg/m³

=====

No. 5
Entry from Alexandria: a geometry-optimized Ac8Tb3 structure (PBE).

Cell: 13.1437 13.1437 9.6806 Å, 90.00 90.00 120.00°
Closest atoms and distances in Å follow each position.
Space group R-3 (No. 148, hexagonal axes)
Symmetry-distinct sites (fractional):
Ac  0.0000  0.0000  0.2344 (multiplicity 6)  3 Tb 3.85, 6 Ac 4.27-4.30
Ac  0.0322  0.5762  0.1571 (multiplicity 18)  2 Tb 3.37-3.43, 3 Ac 3.50-3.52
Tb  0.0000  0.5000  0.5000 (multiplicity 9)  4 Ac 3.37-3.43

## Properties
**Density**: 7886 kg/m³

=====

No. 6
Entry from Alexandria: a geometry-optimized AcTbTc4 structure (PBE).

Cell: 7.8101 7.8101 7.8101 Å, 90.00 90.00 90.00°
Closest atoms and distances in Å follow each position.
Space group F-43m (No. 216)
Symmetry-distinct sites (fractional):
Ac  0.0000  0.0000  0.0000 (multiplicity 4)  12 Tc 3.24, 4 Tb 3.38
Tb  0.2500  0.2500  0.2500 (multiplicity 4)  12 Tc 3.24, 4 Ac 3.38
Tc  0.1246  0.1246  0.6246 (multiplicity 16)  6 Tc 2.75-2.77

## Properties
**Density**: 10846 kg/m³

=====

No. 7
Entry from Alexandria: a geometry-optimized AcTb2Tc structure (PBE).

Cell: 3.5421 3.5421 9.4553 Å, 90.00 90.00 90.00°
Closest atoms and distances in Å follow each position.
Space group P4/mmm (No. 123)
Symmetry-distinct sites (fractional):
Ac  0.0000  0.0000  0.0000 (multiplicity 1)  4 Ac 3.54
Tb  0.5000  0.5000  0.3279 (multiplicity 2)  4 Tc 2.99, 1 Tb 3.25
Tc  0.0000  0.0000  0.5000 (multiplicity 1)  8 Tb 2.99

## Properties
**Energy relative to the lowest polymorph listed for this composition**: 0.000 eV/atom
**Density**: 8999 kg/m³

=====

No. 8
Entry from Alexandria: a geometry-optimized AcTb3Tc structure (PBE).

Cell: 5.4882 5.4882 5.4882 Å, 90.00 90.00 90.00°
Closest atoms and distances in Å follow each position.
Space group Pm-3m (No. 221)
Symmetry-distinct sites (fractional):
Ac  0.0000  0.0000  0.0000 (multiplicity 1)  12 Tb 3.88
Tb  0.0000  0.5000  0.5000 (multiplicity 3)  2 Tc 2.74
Tc  0.5000  0.5000  0.5000 (multiplicity 1)  6 Tb 2.74

## Properties
**Density**: 8054 kg/m³

=====

In the order shown, the computed DOS at the Fermi energy values come out to 5.661, 19.538, 18.203, 13.975, 41.848, 43.340, 7.814, 8.223 states/eV per cell.
In the order shown, the computed ΔE_f values come out to 33, 47, 44, 61, 400, 145, 69, 97 meV per atom.
In the order shown, the computed energy values come out to -4.206, -4.166, -4.499, -4.178, -3.850, -8.222, -5.865, -5.576 eV/atom.